Below is Ac2Dy6Tm5 after structural relaxation, with properties calculated at the PBE level.

Values from the calculation:
symmetry: Pbam, No. 55
total magnetic moment: 0.0 μB/f.u.
E_tot: -4.3523 eV per atom
formation energy from the elements: 124 meV/atom
crystal system: orthorhombic

Cell lengths 3.6267, 11.8637, 20.1661 Å; angles 90.00, 90.00, 90.00 degrees
Sites, in units of the cell vectors:
Tm: 0.5000 0.7997 0.0521
Tm: 0.5000 0.0000 0.5000
Tm: 0.5000 0.5000 0.0000
Tm: 0.5000 0.6014 0.2822
Tm: 0.5000 0.2003 0.9479
Tm: 0.5000 0.8986 0.7822
Tm: 0.5000 0.7003 0.5521
Tm: 0.5000 0.2997 0.4479
Tm: 0.5000 0.1014 0.2178
Tm: 0.5000 0.3986 0.7178
Ac: 0.0000 0.1599 0.7786
Ac: 0.0000 0.8401 0.2214
Ac: 0.0000 0.3401 0.2786
Ac: 0.0000 0.6599 0.7214
Dy: 0.5000 0.8188 0.3826
Dy: 0.0000 0.9411 0.9248
Dy: 0.5000 0.3188 0.1174
Dy: 0.5000 0.1812 0.6174
Dy: 0.0000 0.0761 0.3626
Dy: 0.5000 0.6812 0.8826
Dy: 0.0000 0.5589 0.4248
Dy: 0.0000 0.4411 0.5752
Dy: 0.0000 0.0589 0.0752
Dy: 0.0000 0.5761 0.1374
Dy: 0.0000 0.4239 0.8626
Dy: 0.0000 0.9239 0.6374